i:
Crystalline RbHfGe at its relaxed geometry, computed with PBE.

Geometry as POSCAR:
```
RbHfGe
1.0
0.000 3.584 3.584
3.584 0.000 3.584
3.584 3.584 0.000
Rb Hf Ge
1 1 1
Cartesian
0.000 0.000 0.000 Rb
1.792 1.792 1.792 Hf
5.376 5.376 5.376 Ge
```

Results
* space-group type: No. 216
* M_tot: 0.177 μB/atom
* volume: 92.08 Å³/cell

***

ii:
Crystalline RbHfGe at its relaxed geometry, computed with PBE.

Geometry as POSCAR:
```
RbHfGe
1.0
0.000 3.547 3.547
3.547 0.000 3.547
3.547 3.547 0.000
Rb Hf Ge
1 1 1
Cartesian
0.000 0.000 0.000 Rb
3.547 3.547 3.547 Hf
5.320 5.320 5.320 Ge
```

Results
* space-group type: No. 216
* M_tot: 0.329 μB/atom
* volume: 89.21 Å³/cell

***

Stability summary: most stable ii, least stable i.

***

i:
Crystalline Hf3Zr3GeSb2 at its relaxed geometry, computed with PBE.

Geometry as POSCAR:
```
Hf3Zr3GeSb2
1.0
7.576 0.000 0.000
-3.788 6.561 0.000
0.000 0.000 3.915
Hf Zr Ge Sb
3 3 1 2
Cartesian
-2.282 3.952 0.000 Hf
1.506 2.609 0.000 Hf
4.563 0.000 0.000 Hf
-0.936 1.621 1.957 Zr
1.872 0.000 1.957 Zr
2.852 4.940 1.957 Zr
0.000 0.000 0.000 Ge
0.000 4.374 1.957 Sb
3.788 2.187 1.957 Sb
```

Results
* space-group type: No. 189
* M_tot: 0.001 μB/atom
* volume: 194.58 Å³/cell

***

ii:
Crystalline Hf3Zr3GeSb2 at its relaxed geometry, computed with PBE.

Geometry as POSCAR:
```
Hf3Zr3GeSb2
1.0
7.548 0.000 0.000
-3.774 6.537 0.000
0.000 0.000 3.933
Hf Zr Ge Sb
3 3 1 2
Cartesian
-0.919 1.592 0.000 Hf
1.839 0.000 0.000 Hf
2.855 4.944 0.000 Hf
-2.265 3.924 1.966 Zr
1.509 2.613 1.966 Zr
4.531 0.000 1.966 Zr
0.000 0.000 1.966 Ge
0.000 4.358 0.000 Sb
3.774 2.179 0.000 Sb
```

Results
* space-group type: No. 189
* M_tot: 0.001 μB/atom
* volume: 194.04 Å³/cell

***

Stability summary: most stable ii, least stable i.

***

i:
Crystalline Hf2TcGe2 at its relaxed geometry, computed with PBE.

Geometry as POSCAR:
```
Hf2TcGe2
1.0
-1.741 1.741 7.698
1.741 -1.741 7.698
1.741 1.741 -7.698
Hf Tc Ge
2 1 2
Cartesian
0.000 0.000 1.521 Hf
0.000 0.000 13.874 Hf
0.000 0.000 7.698 Tc
1.741 0.000 3.849 Ge
0.000 1.741 3.849 Ge
```

Results
* space-group type: No. 139
* M_tot: 0.000 μB/atom
* volume: 93.30 Å³/cell

***

ii:
Crystalline Hf2TcGe2 at its relaxed geometry, computed with PBE.

Geometry as POSCAR:
```
Hf2TcGe2
1.0
6.640 0.000 0.000
0.000 6.640 0.000
0.000 0.000 3.930
Hf Tc Ge
4 2 4
Cartesian
1.139 2.181 0.000 Hf
2.181 5.501 0.000 Hf
4.458 1.139 0.000 Hf
5.501 4.458 0.000 Hf
0.000 0.000 1.965 Tc
3.320 3.320 1.965 Tc
0.897 4.217 1.965 Ge
2.423 0.897 1.965 Ge
4.217 5.743 1.965 Ge
5.743 2.423 1.965 Ge
```

Results
* space-group type: No. 127
* M_tot: 0.050 μB/atom
* volume: 173.24 Å³/cell

***

Stability summary: most stable ii, least stable i.

***

i:
Crystalline HfZr2Ge2 at its relaxed geometry, computed with PBE.

Geometry as POSCAR:
```
HfZr2Ge2
1.0
7.195 0.000 0.000
0.000 7.195 0.000
0.000 0.000 3.737
Hf Zr Ge
2 4 4
Cartesian
0.000 0.000 0.000 Hf
3.598 3.598 0.000 Hf
1.225 2.372 1.868 Zr
2.372 5.970 1.868 Zr
4.823 1.225 1.868 Zr
5.970 4.823 1.868 Zr
0.939 4.536 0.000 Ge
2.659 0.939 0.000 Ge
4.536 6.256 0.000 Ge
6.256 2.659 0.000 Ge
```

Results
* space-group type: No. 127
* M_tot: 0.003 μB/atom
* volume: 193.46 Å³/cell

***

ii:
Crystalline HfZr2Ge2 at its relaxed geometry, computed with PBE.

Geometry as POSCAR:
```
HfZr2Ge2
1.0
-2.043 2.043 6.075
2.043 -2.043 6.075
2.043 2.043 -6.075
Hf Zr Ge
1 2 2
Cartesian
0.000 0.000 0.000 Hf
2.043 0.000 3.038 Zr
0.000 2.043 3.038 Zr
0.000 0.000 4.889 Ge
0.000 0.000 7.261 Ge
```

Results
* space-group type: No. 139
* M_tot: 0.000 μB/atom
* volume: 101.38 Å³/cell

***

Stability summary: most stable i, least stable ii.

***

i:
Crystalline HfZrGe2 at its relaxed geometry, computed with PBE.

Geometry as POSCAR:
```
HfZrGe2
1.0
3.932 0.000 0.000
0.000 5.399 0.000
0.000 0.000 7.053
Hf Zr Ge
2 2 4
Cartesian
0.000 0.633 0.000 Hf
0.000 4.766 3.527 Hf
1.966 2.062 4.565 Zr
1.966 3.336 1.038 Zr
0.000 2.182 2.626 Ge
0.000 3.216 6.153 Ge
1.966 0.515 1.939 Ge
1.966 4.883 5.466 Ge
```

Results
* space-group type: No. 26
* M_tot: 0.000 μB/atom
* volume: 149.71 Å³/cell

***

ii:
Crystalline HfZrGe2 at its relaxed geometry, computed with PBE.

Geometry as POSCAR:
```
HfZrGe2
1.0
0.000 3.389 3.389
3.389 0.000 3.389
3.389 3.389 0.000
Hf Zr Ge
1 1 2
Cartesian
0.000 0.000 0.000 Hf
5.083 5.083 5.083 Zr
1.694 1.694 1.694 Ge
3.389 3.389 3.389 Ge
```

Results
* space-group type: No. 216
* M_tot: 0.004 μB/atom
* volume: 77.84 Å³/cell

***

Stability summary: most stable i, least stable ii.

***

i:
Crystalline KHg3GeS4 at its relaxed geometry, computed with PBE.

Geometry as POSCAR:
```
KHg3GeS4
1.0
7.083 0.000 0.000
0.000 7.707 0.000
-1.736 0.000 9.567
K Hg Ge S
2 6 2 8
Cartesian
0.848 1.927 1.315 K
4.499 5.780 8.252 K
0.798 4.258 4.872 Hg
0.798 7.303 4.872 Hg
1.955 1.927 7.257 Hg
3.392 5.780 2.310 Hg
4.549 0.404 4.695 Hg
4.549 3.449 4.695 Hg
-0.295 5.780 2.758 Ge
5.643 1.927 6.809 Ge
-0.056 0.177 7.418 S
-0.056 3.677 7.418 S
1.267 5.780 1.122 S
2.016 1.927 4.479 S
3.331 5.780 5.089 S
4.080 1.927 8.445 S
5.403 4.031 2.149 S
5.403 7.530 2.149 S
```

Results
* space-group type: No. 11
* volume: 522.31 Å³/cell

***

ii:
Crystalline KHg3GeS4 at its relaxed geometry, computed with PBE.

Geometry as POSCAR:
```
KHg3GeS4
1.0
6.554 0.000 0.000
0.000 6.554 0.000
0.000 0.000 6.554
K Hg Ge S
1 3 1 4
Cartesian
0.000 0.000 0.000 K
0.000 3.277 3.277 Hg
3.277 0.000 3.277 Hg
3.277 3.277 0.000 Hg
3.277 3.277 3.277 Ge
1.802 1.802 1.802 S
1.802 4.752 4.752 S
4.752 1.802 4.752 S
4.752 4.752 1.802 S
```

Results
* space-group type: No. 215
* volume: 281.53 Å³/cell

***

Stability summary: most stable i, least stable ii.

***

i:
Crystalline KHg3GeSe4 at its relaxed geometry, computed with PBE.

Geometry as POSCAR:
```
KHg3GeSe4
1.0
7.220 0.000 0.000
0.000 7.263 0.000
-1.783 0.000 11.288
K Hg Ge Se
2 6 2 8
Cartesian
0.814 1.816 1.487 K
4.623 5.448 9.801 K
0.889 4.037 5.911 Hg
0.889 6.858 5.911 Hg
1.972 1.816 9.114 Hg
3.465 5.448 2.174 Hg
4.548 0.405 5.377 Hg
4.548 3.227 5.377 Hg
-0.395 5.448 3.340 Ge
5.832 1.816 7.948 Ge
1.072 5.448 1.306 Se
0.142 3.717 8.587 Se
0.142 7.178 8.587 Se
1.647 1.816 4.689 Se
3.790 5.448 6.599 Se
5.294 0.086 2.700 Se
5.294 3.546 2.700 Se
4.365 1.816 9.981 Se
```

Results
* space-group type: No. 11
* volume: 591.94 Å³/cell

***

ii:
Crystalline KHg3GeSe4 at its relaxed geometry, computed with PBE.

Geometry as POSCAR:
```
KHg3GeSe4
1.0
6.806 0.000 0.000
0.000 6.806 0.000
0.000 0.000 6.806
K Hg Ge Se
1 3 1 4
Cartesian
0.000 0.000 0.000 K
0.000 3.403 3.403 Hg
3.403 0.000 3.403 Hg
3.403 3.403 0.000 Hg
3.403 3.403 3.403 Ge
1.864 1.864 1.864 Se
1.864 4.942 4.942 Se
4.942 1.864 4.942 Se
4.942 4.942 1.864 Se
```

Results
* space-group type: No. 215
* volume: 315.26 Å³/cell

***

Stability summary: most stable i, least stable ii.

***

i:
Crystalline LiHg3GeS4 at its relaxed geometry, computed with PBE.

Geometry as POSCAR:
```
LiHg3GeS4
1.0
6.189 0.000 0.000
0.000 6.189 0.000
0.000 0.000 6.189
Li Hg Ge S
1 3 1 4
Cartesian
0.000 0.000 0.000 Li
0.000 3.095 3.095 Hg
3.095 0.000 3.095 Hg
3.095 3.095 0.000 Hg
3.095 3.095 3.095 Ge
1.540 1.540 1.540 S
1.540 4.650 4.650 S
4.650 1.540 4.650 S
4.650 4.650 1.540 S
```

Results
* space-group type: No. 215
* volume: 237.10 Å³/cell

***

ii:
Crystalline LiHg3GeS4 at its relaxed geometry, computed with PBE.

Geometry as POSCAR:
```
LiHg3GeS4
1.0
6.837 0.000 0.000
0.000 7.086 0.000
-3.102 0.000 9.606
Li Hg Ge S
2 6 2 8
Cartesian
-0.874 1.771 3.026 Li
4.608 5.314 6.580 Li
1.741 0.371 0.272 Hg
1.741 3.172 0.272 Hg
1.068 1.771 6.122 Hg
2.666 5.314 3.483 Hg
1.994 3.914 9.334 Hg
1.994 6.715 9.334 Hg
-0.566 5.314 2.259 Ge
4.301 1.771 7.347 Ge
-1.220 1.771 5.464 S
0.898 3.548 2.789 S
0.898 7.081 2.789 S
-0.859 5.314 8.627 S
4.593 1.771 0.979 S
2.837 0.005 6.817 S
2.837 3.538 6.817 S
4.954 5.314 4.142 S
```

Results
* space-group type: No. 11
* volume: 465.34 Å³/cell

***

Stability summary: most stable ii, least stable i.